[1]
# Nb3IrSe6, optimized geometry, DFT GGA-PBE
data_Nb3IrSe6
_symmetry_space_group_name_H-M 'P 1'
_symmetry_Int_Tables_number 1
_cell_length_a 6.045
_cell_length_b 6.045
_cell_length_c 12.562
_cell_angle_alpha 90.00
_cell_angle_beta 90.00
_cell_angle_gamma 120.00
loop_
_symmetry_equiv_pos_as_xyz
'x,y,z'
loop_
_atom_site_label
_atom_site_fract_x
_atom_site_fract_y
_atom_site_fract_z
_atom_site_occupancy
Nb1 0.000 0.000 0.000 1
Nb2 0.000 0.000 0.500 1
Nb3 0.333 0.667 0.002 1
Nb4 0.333 0.667 0.498 1
Nb5 0.667 0.333 0.502 1
Nb6 0.667 0.333 0.998 1
Ir1 0.333 0.667 0.250 1
Ir2 0.667 0.333 0.750 1
Se1 0.011 0.334 0.866 1
Se2 0.011 0.677 0.634 1
Se3 0.323 0.334 0.634 1
Se4 0.323 0.989 0.866 1
Se5 0.334 0.011 0.134 1
Se6 0.334 0.323 0.366 1
Se7 0.666 0.677 0.866 1
Se8 0.666 0.989 0.634 1
Se9 0.677 0.011 0.366 1
Se10 0.677 0.666 0.134 1
Se11 0.989 0.323 0.134 1
Se12 0.989 0.666 0.366 1
# E: -67.1 eV per formula unit
# total magnetization: 0.00 μB per formula unit


[2]
# CdIrPb2O6, optimized geometry, DFT GGA-PBE
data_CdIrPb2O6
_symmetry_space_group_name_H-M 'P 1'
_symmetry_Int_Tables_number 1
_cell_length_a 5.734
_cell_length_b 5.734
_cell_length_c 5.845
_cell_angle_alpha 119.84
_cell_angle_beta 119.84
_cell_angle_gamma 59.62
loop_
_symmetry_equiv_pos_as_xyz
'x,y,z'
loop_
_atom_site_label
_atom_site_fract_x
_atom_site_fract_y
_atom_site_fract_z
_atom_site_occupancy
Cd1 0.000 0.000 0.000 1
Ir1 0.500 0.500 0.500 1
Pb1 0.252 0.252 0.728 1
Pb2 0.748 0.748 0.272 1
O1 0.193 0.669 0.655 1
O2 0.276 0.276 0.162 1
O3 0.331 0.807 0.345 1
O4 0.669 0.193 0.655 1
O5 0.724 0.724 0.838 1
O6 0.807 0.331 0.345 1
# E: -56.2 eV per formula unit
# total magnetization: 0.03 μB per formula unit


[3]
# Al6Ir, optimized geometry, DFT GGA-PBE
data_Al6Ir
_symmetry_space_group_name_H-M 'P 1'
_symmetry_Int_Tables_number 1
_cell_length_a 4.988
_cell_length_b 4.988
_cell_length_c 9.072
_cell_angle_alpha 90.00
_cell_angle_beta 90.00
_cell_angle_gamma 82.30
loop_
_symmetry_equiv_pos_as_xyz
'x,y,z'
loop_
_atom_site_label
_atom_site_fract_x
_atom_site_fract_y
_atom_site_fract_z
_atom_site_occupancy
Al1 0.014 0.630 0.250 1
Al2 0.140 0.860 0.600 1
Al3 0.140 0.860 0.900 1
Al4 0.315 0.315 0.000 1
Al5 0.315 0.315 0.500 1
Al6 0.370 0.986 0.250 1
Al7 0.630 0.014 0.750 1
Al8 0.685 0.685 0.000 1
Al9 0.685 0.685 0.500 1
Al10 0.860 0.140 0.100 1
Al11 0.860 0.140 0.400 1
Al12 0.986 0.370 0.750 1
Ir1 0.469 0.531 0.750 1
Ir2 0.531 0.469 0.250 1
# E: -33.7 eV per formula unit
# total magnetization: 0.00 μB per formula unit


[4]
# MgPaIn, optimized geometry, DFT GGA-PBE
data_MgPaIn
_symmetry_space_group_name_H-M 'P 1'
_symmetry_Int_Tables_number 1
_cell_length_a 4.998
_cell_length_b 4.998
_cell_length_c 4.998
_cell_angle_alpha 60.00
_cell_angle_beta 60.00
_cell_angle_gamma 60.00
loop_
_symmetry_equiv_pos_as_xyz
'x,y,z'
loop_
_atom_site_label
_atom_site_fract_x
_atom_site_fract_y
_atom_site_fract_z
_atom_site_occupancy
Mg1 0.000 0.000 0.000 1
Pa1 0.500 0.500 0.500 1
In1 0.250 0.250 0.250 1
# E: -12.3 eV per formula unit
# total magnetization: 1.61 μB per formula unit


[5]
# Th2Tc, optimized geometry, DFT GGA-PBE
data_Th2Tc
_symmetry_space_group_name_H-M 'P 1'
_symmetry_Int_Tables_number 1
_cell_length_a 8.430
_cell_length_b 8.430
_cell_length_c 8.430
_cell_angle_alpha 60.00
_cell_angle_beta 60.00
_cell_angle_gamma 60.00
loop_
_symmetry_equiv_pos_as_xyz
'x,y,z'
loop_
_atom_site_label
_atom_site_fract_x
_atom_site_fract_y
_atom_site_fract_z
_atom_site_occupancy
Th1 0.000 0.000 0.000 1
Th2 0.000 0.000 0.500 1
Th3 0.000 0.500 0.000 1
Th4 0.500 0.000 0.000 1
Tc1 0.125 0.125 0.125 1
Tc2 0.875 0.875 0.875 1
# E: -21.8 eV per formula unit
# total magnetization: 0.01 μB per formula unit
# DFT formation energy: 1.136 eV/atom


[6]
# Re24W5, optimized geometry, DFT GGA-PBE
data_Re24W5
_symmetry_space_group_name_H-M 'P 1'
_symmetry_Int_Tables_number 1
_cell_length_a 8.325
_cell_length_b 8.325
_cell_length_c 8.325
_cell_angle_alpha 109.47
_cell_angle_beta 109.47
_cell_angle_gamma 109.47
loop_
_symmetry_equiv_pos_as_xyz
'x,y,z'
loop_
_atom_site_label
_atom_site_fract_x
_atom_site_fract_y
_atom_site_fract_z
_atom_site_occupancy
Re1 0.000 0.194 0.375 1
Re2 0.000 0.375 0.194 1
Re3 0.000 0.401 0.684 1
Re4 0.000 0.684 0.401 1
Re5 0.182 0.806 0.806 1
Re6 0.194 0.000 0.375 1
Re7 0.194 0.375 0.000 1
Re8 0.283 0.599 0.599 1
Re9 0.316 0.316 0.717 1
Re10 0.316 0.717 0.316 1
Re11 0.375 0.000 0.194 1
Re12 0.375 0.194 0.000 1
Re13 0.401 0.000 0.684 1
Re14 0.401 0.684 0.000 1
Re15 0.599 0.283 0.599 1
Re16 0.599 0.599 0.283 1
Re17 0.625 0.625 0.818 1
Re18 0.625 0.818 0.625 1
Re19 0.684 0.000 0.401 1
Re20 0.684 0.401 0.000 1
Re21 0.717 0.316 0.316 1
Re22 0.806 0.182 0.806 1
Re23 0.806 0.806 0.182 1
Re24 0.818 0.625 0.625 1
W1 0.000 0.000 0.000 1
W2 0.000 0.000 0.640 1
W3 0.000 0.640 0.000 1
W4 0.360 0.360 0.360 1
W5 0.640 0.000 0.000 1
# E: -363.2 eV per formula unit
# total magnetization: 0.01 μB per formula unit
# DFT formation energy: -0.009 eV/atom


[7]
# Na2ZrSi2O7, optimized geometry, DFT GGA-PBE
data_Na2ZrSi2O7
_symmetry_space_group_name_H-M 'P 1'
_symmetry_Int_Tables_number 1
_cell_length_a 5.399
_cell_length_b 6.594
_cell_length_c 8.767
_cell_angle_alpha 71.93
_cell_angle_beta 86.57
_cell_angle_gamma 85.18
loop_
_symmetry_equiv_pos_as_xyz
'x,y,z'
loop_
_atom_site_label
_atom_site_fract_x
_atom_site_fract_y
_atom_site_fract_z
_atom_site_occupancy
Na1 0.234 0.349 0.001 1
Na2 0.252 0.126 0.406 1
Na3 0.748 0.874 0.594 1
Na4 0.766 0.651 0.999 1
Zr1 0.211 0.709 0.230 1
Zr2 0.789 0.291 0.770 1
Si1 0.226 0.650 0.646 1
Si2 0.328 0.939 0.836 1
Si3 0.672 0.061 0.164 1
Si4 0.774 0.350 0.354 1
O1 0.017 0.432 0.237 1
O2 0.129 0.132 0.843 1
O3 0.138 0.722 0.462 1
O4 0.289 0.887 0.664 1
O5 0.304 0.720 0.986 1
O6 0.383 0.997 0.181 1
O7 0.476 0.496 0.693 1
O8 0.524 0.504 0.307 1
O9 0.617 0.003 0.819 1
O10 0.696 0.280 0.014 1
O11 0.711 0.113 0.336 1
O12 0.862 0.278 0.538 1
O13 0.871 0.868 0.157 1
O14 0.983 0.568 0.763 1
# E: -89.6 eV per formula unit
# total magnetization: 0.00 μB per formula unit


[8]
# Ba4Cu3Ge20, optimized geometry, DFT GGA-PBE
data_Ba4Cu3Ge20
_symmetry_space_group_name_H-M 'P 1'
_symmetry_Int_Tables_number 1
_cell_length_a 10.776
_cell_length_b 10.776
_cell_length_c 10.776
_cell_angle_alpha 90.00
_cell_angle_beta 90.00
_cell_angle_gamma 90.00
loop_
_symmetry_equiv_pos_as_xyz
'x,y,z'
loop_
_atom_site_label
_atom_site_fract_x
_atom_site_fract_y
_atom_site_fract_z
_atom_site_occupancy
Ba1 0.000 0.000 0.000 1
Ba2 0.000 0.250 0.500 1
Ba3 0.000 0.750 0.500 1
Ba4 0.250 0.500 0.000 1
Ba5 0.500 0.000 0.250 1
Ba6 0.500 0.000 0.750 1
Ba7 0.500 0.500 0.500 1
Ba8 0.750 0.500 0.000 1
Cu1 0.000 0.500 0.250 1
Cu2 0.000 0.500 0.750 1
Cu3 0.250 0.000 0.500 1
Cu4 0.500 0.250 0.000 1
Cu5 0.500 0.750 0.000 1
Cu6 0.750 0.000 0.500 1
Ge1 0.000 0.317 0.119 1
Ge2 0.000 0.317 0.881 1
Ge3 0.000 0.683 0.119 1
Ge4 0.000 0.683 0.881 1
Ge5 0.119 0.000 0.317 1
Ge6 0.119 0.000 0.683 1
Ge7 0.183 0.183 0.183 1
Ge8 0.183 0.183 0.817 1
Ge9 0.183 0.500 0.381 1
Ge10 0.183 0.500 0.619 1
Ge11 0.183 0.817 0.183 1
Ge12 0.183 0.817 0.817 1
Ge13 0.317 0.119 0.000 1
Ge14 0.317 0.317 0.317 1
Ge15 0.317 0.317 0.683 1
Ge16 0.317 0.683 0.317 1
Ge17 0.317 0.683 0.683 1
Ge18 0.317 0.881 0.000 1
Ge19 0.381 0.183 0.500 1
Ge20 0.381 0.817 0.500 1
Ge21 0.500 0.381 0.183 1
Ge22 0.500 0.381 0.817 1
Ge23 0.500 0.619 0.183 1
Ge24 0.500 0.619 0.817 1
Ge25 0.619 0.183 0.500 1
Ge26 0.619 0.817 0.500 1
Ge27 0.683 0.119 0.000 1
Ge28 0.683 0.317 0.317 1
Ge29 0.683 0.317 0.683 1
Ge30 0.683 0.683 0.317 1
Ge31 0.683 0.683 0.683 1
Ge32 0.683 0.881 0.000 1
Ge33 0.817 0.183 0.183 1
Ge34 0.817 0.183 0.817 1
Ge35 0.817 0.500 0.381 1
Ge36 0.817 0.500 0.619 1
Ge37 0.817 0.817 0.183 1
Ge38 0.817 0.817 0.817 1
Ge39 0.881 0.000 0.317 1
Ge40 0.881 0.000 0.683 1
# E: -118.7 eV per formula unit


[9]
# PrAlO3, optimized geometry, DFT GGA-PBE
data_PrAlO3
_symmetry_space_group_name_H-M 'P 1'
_symmetry_Int_Tables_number 1
_cell_length_a 6.271
_cell_length_b 6.271
_cell_length_c 6.271
_cell_angle_alpha 53.65
_cell_angle_beta 53.65
_cell_angle_gamma 53.65
loop_
_symmetry_equiv_pos_as_xyz
'x,y,z'
loop_
_atom_site_label
_atom_site_fract_x
_atom_site_fract_y
_atom_site_fract_z
_atom_site_occupancy
Pr1 0.000 0.000 0.000 1
Pr2 0.500 0.500 0.500 1
Al1 0.250 0.250 0.250 1
Al2 0.750 0.750 0.750 1
O1 0.053 0.750 0.447 1
O2 0.250 0.553 0.947 1
O3 0.447 0.053 0.750 1
O4 0.553 0.947 0.250 1
O5 0.750 0.447 0.053 1
O6 0.947 0.250 0.553 1
# E: -38.1 eV per formula unit
# total magnetization: 0.00 μB per formula unit


[10]
# HoAgGeTe3, optimized geometry, DFT GGA-PBE
data_HoAgGeTe3
_symmetry_space_group_name_H-M 'P 1'
_symmetry_Int_Tables_number 1
_cell_length_a 7.535
_cell_length_b 7.535
_cell_length_c 11.101
_cell_angle_alpha 90.00
_cell_angle_beta 90.00
_cell_angle_gamma 147.69
loop_
_symmetry_equiv_pos_as_xyz
'x,y,z'
loop_
_atom_site_label
_atom_site_fract_x
_atom_site_fract_y
_atom_site_fract_z
_atom_site_occupancy
Ho1 0.000 0.000 0.000 1
Ho2 0.000 0.000 0.500 1
Ag1 0.478 0.522 0.750 1
Ag2 0.522 0.478 0.250 1
Ge1 0.217 0.783 0.250 1
Ge2 0.783 0.217 0.750 1
Te1 0.108 0.892 0.750 1
Te2 0.350 0.650 0.563 1
Te3 0.350 0.650 0.937 1
Te4 0.650 0.350 0.063 1
Te5 0.650 0.350 0.437 1
Te6 0.892 0.108 0.250 1
# E: -24.6 eV per formula unit
# total magnetization: 0.00 μB per formula unit